(1)
Here is a relaxed structure of PuIn2Sn from the Open Quantum Materials Database. Energies are from PBE-GGA. Values from VASP.

Calculated values
Crystal system   tetragonal
Magnetization   5.624 μB/cell
E   -24.99 eV per cell

```
&SYSTEM
  ibrav = 0, nat = 4, ntyp = 3
/
ATOMIC_SPECIES
Pu 244.00 Pu.upf
In 114.82 In.upf
Sn 118.71 Sn.upf
ATOMIC_POSITIONS crystal
Pu 0.000 0.000 0.000
In 0.000 0.500 0.500
In 0.500 0.000 0.500
Sn 0.500 0.500 0.000
CELL_PARAMETERS angstrom
4.585 0.000 0.000
0.000 4.585 0.000
0.000 0.000 4.787
```

=====

(2)
Here is a relaxed structure of SrPuIn from the Open Quantum Materials Database. Energies are from PBE-GGA. Values from VASP.

Calculated values
Crystal system   cubic
Magnetization   6.015 μB/cell
Energy relative to the lowest polymorph listed for this composition   0 meV/atom

```
&SYSTEM
  ibrav = 0, nat = 3, ntyp = 3
/
ATOMIC_SPECIES
Sr 87.62 Sr.upf
Pu 244.00 Pu.upf
In 114.82 In.upf
ATOMIC_POSITIONS crystal
Sr 0.000 0.000 0.000
Pu 0.500 0.500 0.500
In 0.750 0.750 0.750
CELL_PARAMETERS angstrom
0.000 3.870 3.870
3.870 0.000 3.870
3.870 3.870 0.000
```

=====

What is the magnetization in the second record? 6.015 μB/cell

=====

Copy entry 1 word for word.
Here is a relaxed structure of PuIn2Sn from the Open Quantum Materials Database. Energies are from PBE-GGA. Values from VASP.

Calculated values
Crystal system   tetragonal
Magnetization   5.624 μB/cell
E   -24.99 eV per cell

```
&SYSTEM
  ibrav = 0, nat = 4, ntyp = 3
/
ATOMIC_SPECIES
Pu 244.00 Pu.upf
In 114.82 In.upf
Sn 118.71 Sn.upf
ATOMIC_POSITIONS crystal
Pu 0.000 0.000 0.000
In 0.000 0.500 0.500
In 0.500 0.000 0.500
Sn 0.500 0.500 0.000
CELL_PARAMETERS angstrom
4.585 0.000 0.000
0.000 4.585 0.000
0.000 0.000 4.787
```

=====

Which of these has the highest magnetization? SrPuIn

=====

Copy entry 1 word for word.
Here is a relaxed structure of PuIn2Sn from the Open Quantum Materials Database. Energies are from PBE-GGA. Values from VASP.

Calculated values
Crystal system   tetragonal
Magnetization   5.624 μB/cell
E   -24.99 eV per cell

```
&SYSTEM
  ibrav = 0, nat = 4, ntyp = 3
/
ATOMIC_SPECIES
Pu 244.00 Pu.upf
In 114.82 In.upf
Sn 118.71 Sn.upf
ATOMIC_POSITIONS crystal
Pu 0.000 0.000 0.000
In 0.000 0.500 0.500
In 0.500 0.000 0.500
Sn 0.500 0.500 0.000
CELL_PARAMETERS angstrom
4.585 0.000 0.000
0.000 4.585 0.000
0.000 0.000 4.787
```